Computed, not measured: a geometry-optimized Ho2HgPb4 structure at the PBE-GGA level of DFT.

Cell lengths 5.123, 6.470, 6.470 Å; angles 106.29, 90.00, 90.00 degrees
Atoms (fractional coordinates):
Pb  0.000  0.802  0.802
Pb  0.000  0.198  0.198
Pb  0.500  0.000  0.500
Pb  0.500  0.500  0.000
Ho  0.000  0.708  0.292
Ho  0.000  0.292  0.708
Hg  0.500  0.500  0.500

## Properties
The calculated total energy is -3.7427 eV/atom. The formation enthalpy at 0 K comes out at -26.3 kJ/mol of atoms. The density of states at the Fermi level comes out at 3.42 states/eV/f.u. The spin magnetization comes out at 0.00 μB/cell. The volume comes out at 29.4 Å³/atom.



Computed, not measured: a geometry-optimized HoHgPb structure at the PBE-GGA level of DFT.

Cell lengths 3.713, 3.713, 6.465 Å; angles 106.69, 106.69, 90.00 degrees
Atoms (fractional coordinates):
Pb  0.956  0.956  0.913
Hg  0.624  0.624  0.247
Ho  0.270  0.270  0.540

## Properties
The calculated total energy is -3.1328 eV/atom. The formation enthalpy at 0 K comes out at -26.1 kJ/mol of atoms. The density of states at the Fermi level comes out at 2.44 states/eV/f.u. The spin magnetization comes out at 0.01 μB/cell. The volume comes out at 27.1 Å³/atom.



Computed, not measured: a geometry-optimized Ho3HgPb3 structure at the PBE-GGA level of DFT.

Cell lengths 5.794, 8.844, 8.844 Å; angles 120.00, 90.00, 90.00 degrees
Atoms (fractional coordinates):
Ho  0.750  0.637  0.548
Ho  0.750  0.452  0.089
Ho  0.750  0.911  0.363
Ho  0.250  0.363  0.452
Ho  0.250  0.548  0.911
Ho  0.250  0.089  0.637
Hg  0.250  0.667  0.333
Hg  0.750  0.333  0.667
Pb  0.250  0.796  0.741
Pb  0.250  0.259  0.055
Pb  0.250  0.945  0.204
Pb  0.750  0.204  0.259
Pb  0.750  0.741  0.945
Pb  0.750  0.055  0.796

## Properties
The calculated total energy is -3.8536 eV/atom. The formation enthalpy at 0 K comes out at -25.0 kJ/mol of atoms. The density of states at the Fermi level comes out at 5.77 states/eV/f.u. The spin magnetization comes out at 0.00 μB/cell. The volume comes out at 28.0 Å³/atom.